{
  "formula": "AcPm5Y4",
  "functional": "PBE-GGA",
  "state": "relaxed",
  "lattice_angstrom": [[-2.685, 1.750, 1.801], [0.508, -2.203, 2.898], [17.086, 16.442, 9.499]],
  "species": ["Ac", "Pm", "Pm", "Pm", "Pm", "Pm", "Y", "Y", "Y", "Y"],
  "frac_coords": [[0.000, 0.000, 0.000], [0.500, 0.500, 0.108], [0.500, 0.500, 0.305], [0.500, 0.500, 0.500], [0.500, 0.500, 0.695], [0.500, 0.500, 0.892], [0.000, 0.000, 0.206], [0.000, 0.000, 0.402], [0.000, 0.000, 0.598], [0.000, 0.000, 0.794]]
}


{
  "formula": "Ac2Pm2Y5",
  "functional": "PBE-GGA",
  "state": "relaxed",
  "lattice_angstrom": [[3.637, 0.000, 0.000], [-1.818, 12.689, 2.066], [0.000, 3.152, 7.801]],
  "species": ["Ac", "Ac", "Pm", "Pm", "Y", "Y", "Y", "Y", "Y"],
  "frac_coords": [[0.181, 0.363, 0.773], [0.819, 0.637, 0.227], [0.453, 0.905, 0.742], [0.547, 0.095, 0.258], [0.310, 0.620, 0.849], [0.690, 0.380, 0.151], [0.093, 0.186, 0.537], [0.907, 0.814, 0.463], [0.000, 0.000, 0.000]]
}


{
  "formula": "AcPm2Y",
  "functional": "PBE-GGA",
  "state": "relaxed",
  "lattice_angstrom": [[-0.556, 3.604, -0.824], [-2.700, 0.174, 2.580], [14.080, 5.461, 14.370]],
  "species": ["Ac", "Ac", "Pm", "Pm", "Pm", "Pm", "Y", "Y"],
  "frac_coords": [[0.250, 0.250, 0.428], [0.750, 0.750, 0.572], [0.250, 0.250, 0.703], [0.750, 0.750, 0.297], [0.250, 0.250, 0.941], [0.750, 0.750, 0.059], [0.250, 0.250, 0.178], [0.750, 0.750, 0.822]]
}


no.,ΔE_f (eV/atom)
1,0.028
2,0.219
3,0.039